--- A ---
## TaCd2SnSb (GGA-PBE)

Data for crystalline TaCd2SnSb at its relaxed geometry.

Unit cell a=5.223 b=5.223 c=5.904 alpha=90.00 beta=90.00 gamma=90.00
Space group P4/mmm (No. 123)
Unique sites:
Ta 0.000 0.000 0.000 [1 per cell]
Cd 0.000 0.500 0.500 [2 per cell]
Sn 0.500 0.500 0.500 [1 per cell]
Sb 0.500 0.500 0.000 [1 per cell]

As for the density of states at the Fermi level: 1.39 states/eV per atom.

--- B ---
## TaCd2SnSb (GGA-PBE)

Data for crystalline TaCd2SnSb at its relaxed geometry.

Unit cell a=5.281 b=5.281 c=5.393 alpha=90.00 beta=90.00 gamma=90.00
Space group P4/mmm (No. 123)
Unique sites:
Ta 0.000 0.000 0.000 [1 per cell]
Cd 0.000 0.500 0.500 [2 per cell]
Sn 0.000 0.000 0.500 [1 per cell]
Sb 0.500 0.500 0.000 [1 per cell]

As for the density of states at the Fermi level: 0.69 states/eV per atom.

Most stable: B. Least stable: A.

--- A ---
## TlCdSnSb (GGA-PBE)

Data for crystalline TlCdSnSb at its relaxed geometry.

Unit cell a=4.623 b=4.614 c=10.988 alpha=90.00 beta=100.64 gamma=90.00
Space group Cm (No. 8)
Unique sites:
Tl 0.000 0.000 0.000 [2 per cell]
Cd 0.230 0.000 0.488 [2 per cell]
Sn 0.149 0.500 0.277 [2 per cell]
Sb 0.380 0.000 0.754 [2 per cell]

As for the density of states at the Fermi level: 0.33 states/eV per atom.

--- B ---
## TlCdSnSb (GGA-PBE)

Data for crystalline TlCdSnSb at its relaxed geometry.

Unit cell a=7.695 b=7.695 c=7.695 alpha=90.00 beta=90.00 gamma=90.00
Space group F-43m (No. 216)
Unique sites:
Tl 0.000 0.000 0.000 [4 per cell]
Cd 0.250 0.250 0.750 [4 per cell]
Sn 0.000 0.000 0.500 [4 per cell]
Sb 0.250 0.250 0.250 [4 per cell]

As for the density of states at the Fermi level: 0.97 states/eV per atom.

Most stable: A. Least stable: B.

--- A ---
## Sr2CdSb (GGA-PBE)

Data for crystalline Sr2CdSb at its relaxed geometry.

Unit cell a=4.797 b=4.797 c=11.796 alpha=90.00 beta=90.00 gamma=90.00
Space group I-4m2 (No. 119)
Unique sites:
Sr 0.000 0.000 0.000 [2 per cell]
Sr 0.000 0.500 0.250 [2 per cell]
Cd 0.000 0.500 0.750 [2 per cell]
Sb 0.000 0.000 0.500 [2 per cell]

As for the density of states at the Fermi level: 0.80 states/eV per atom.

--- B ---
## Sr2CdSb (GGA-PBE)

Data for crystalline Sr2CdSb at its relaxed geometry.

Unit cell a=4.781 b=4.783 c=12.298 alpha=90.00 beta=90.00 gamma=90.00
Space group Amm2 (No. 38)
Unique sites:
Sr 0.000 0.000 0.000 [2 per cell]
Sr 0.500 0.000 0.273 [2 per cell]
Cd 0.500 0.000 0.554 [2 per cell]
Sb 0.000 0.000 0.717 [2 per cell]

As for the density of states at the Fermi level: 0.41 states/eV per atom.

--- C ---
## Sr2CdSb (GGA-PBE)

Data for crystalline Sr2CdSb at its relaxed geometry.

Unit cell a=6.074 b=6.074 c=19.925 alpha=90.00 beta=90.00 gamma=90.00
Space group I-42d (No. 122)
Unique sites:
Sr 0.236 0.250 0.125 [8 per cell]
Cd 0.000 0.000 0.500 [4 per cell]
Sb 0.000 0.000 0.000 [4 per cell]

As for the density of states at the Fermi level: 0.21 states/eV per atom.

--- D ---
## Sr2CdSb (GGA-PBE)

Data for crystalline Sr2CdSb at its relaxed geometry.

Unit cell a=4.825 b=4.825 c=6.697 alpha=90.00 beta=90.00 gamma=90.00
Space group P4/mmm (No. 123)
Unique sites:
Sr 0.000 0.000 0.000 [1 per cell]
Sr 0.500 0.500 0.500 [1 per cell]
Cd 0.000 0.000 0.500 [1 per cell]
Sb 0.500 0.500 0.000 [1 per cell]

As for the density of states at the Fermi level: 0.99 states/eV per atom.

Most stable: B. Least stable: C.

--- A ---
## Sr2CdSb (GGA-PBE)

Data for crystalline Sr2CdSb at its relaxed geometry.

Unit cell a=8.183 b=8.183 c=8.183 alpha=90.00 beta=90.00 gamma=90.00
Space group F-43m (No. 216)
Unique sites:
Sr 0.000 0.000 0.000 [4 per cell]
Sr 0.250 0.250 0.250 [4 per cell]
Cd 0.000 0.000 0.500 [4 per cell]
Sb 0.250 0.250 0.750 [4 per cell]

As for the density of states at the Fermi level: 0.56 states/eV per atom.

--- B ---
## Sr2CdSb (GGA-PBE)

Data for crystalline Sr2CdSb at its relaxed geometry.

Unit cell a=4.453 b=5.457 c=5.456 alpha=90.00 beta=90.00 gamma=90.00
Space group Pmm2 (No. 25)
Unique sites:
Sr 0.000 0.000 0.000 [1 per cell]
Sr 0.000 0.500 0.499 [1 per cell]
Cd 0.500 0.000 0.501 [1 per cell]
Sb 0.500 0.500 0.999 [1 per cell]

As for the density of states at the Fermi level: 0.29 states/eV per atom.

Most stable: B. Least stable: A.

--- A ---
## Sr2CdSb (GGA-PBE)

Data for crystalline Sr2CdSb at its relaxed geometry.

Unit cell a=8.129 b=8.129 c=8.129 alpha=90.00 beta=90.00 gamma=90.00
Space group Fm-3m (No. 225)
Unique sites:
Sr 0.250 0.250 0.250 [8 per cell]
Cd 0.000 0.000 0.000 [4 per cell]
Sb 0.000 0.000 0.500 [4 per cell]

As for the density of states at the Fermi level: 1.02 states/eV per atom.

--- B ---
## Sr2CdSb (GGA-PBE)

Data for crystalline Sr2CdSb at its relaxed geometry.

Unit cell a=4.022 b=4.313 c=7.718 alpha=90.00 beta=90.00 gamma=90.00
Space group Pmmm (No. 47)
Unique sites:
Sr 0.000 0.000 0.235 [2 per cell]
Cd 0.500 0.500 0.500 [1 per cell]
Sb 0.500 0.500 0.000 [1 per cell]

As for the density of states at the Fermi level: 0.43 states/eV per atom.

Most stable: B. Least stable: A.

--- A ---
## SrCd3Sb3 (GGA-PBE)

Data for crystalline SrCd3Sb3 at its relaxed geometry.

Unit cell a=8.1465 b=8.1465 c=23.6575 alpha=90.00 beta=90.00 gamma=120.00
Space group R-3 (No. 148, hexagonal axes)
Unique sites:
Sr 0.0000 0.0000 0.1665 [6 per cell]
Cd 0.0012 0.3470 0.3752 [18 per cell]
Sb 0.9999 0.3204 0.5814 [18 per cell]

As for the density of states at the Fermi level: 0.45 states/eV per atom.

--- B ---
## SrCd3Sb3 (GGA-PBE)

Data for crystalline SrCd3Sb3 at its relaxed geometry.

Unit cell a=11.5122 b=11.5122 c=4.6007 alpha=90.00 beta=90.00 gamma=120.00
Space group P6_3/m (No. 176)
Unique sites:
Sr 0.3333 0.6667 0.2500 [2 per cell]
Cd 0.0602 0.3969 0.7500 [6 per cell]
Sb 0.1065 0.6812 0.7500 [6 per cell]

As for the density of states at the Fermi level: 0.59 states/eV per atom.

Most stable: A. Least stable: B.

--- A ---
## SrCdSb2Te (GGA-PBE)

Data for crystalline SrCdSb2Te at its relaxed geometry.

Unit cell a=5.514 b=5.514 c=5.847 alpha=90.00 beta=90.00 gamma=90.00
Space group P4/mmm (No. 123)
Unique sites:
Sr 0.000 0.000 0.000 [1 per cell]
Cd 0.500 0.500 0.500 [1 per cell]
Sb 0.000 0.500 0.500 [2 per cell]
Te 0.500 0.500 0.000 [1 per cell]

As for the density of states at the Fermi level: 1.10 states/eV per atom.

--- B ---
## SrCdSb2Te (GGA-PBE)

Data for crystalline SrCdSb2Te at its relaxed geometry.

Unit cell a=6.129 b=6.129 c=6.033 alpha=90.00 beta=90.00 gamma=90.00
Space group P4/mmm (No. 123)
Unique sites:
Sr 0.000 0.000 0.000 [1 per cell]
Cd 0.500 0.500 0.500 [1 per cell]
Sb 0.000 0.500 0.000 [2 per cell]
Te 0.000 0.000 0.500 [1 per cell]

As for the density of states at the Fermi level: 1.24 states/eV per atom.

Most stable: A. Least stable: B.

--- A ---
## SrCdSbTe2 (GGA-PBE)

Data for crystalline SrCdSbTe2 at its relaxed geometry.

Unit cell a=6.117 b=6.117 c=6.209 alpha=90.00 beta=90.00 gamma=90.00
Space group P4/mmm (No. 123)
Unique sites:
Sr 0.000 0.000 0.000 [1 per cell]
Cd 0.500 0.500 0.500 [1 per cell]
Sb 0.000 0.000 0.500 [1 per cell]
Te 0.000 0.500 0.000 [2 per cell]

As for the density of states at the Fermi level: 1.78 states/eV per atom.

--- B ---
## SrCdSbTe2 (GGA-PBE)

Data for crystalline SrCdSbTe2 at its relaxed geometry.

Unit cell a=5.798 b=5.798 c=5.383 alpha=90.00 beta=90.00 gamma=90.00
Space group P4/mmm (No. 123)
Unique sites:
Sr 0.000 0.000 0.000 [1 per cell]
Cd 0.500 0.500 0.500 [1 per cell]
Sb 0.500 0.500 0.000 [1 per cell]
Te 0.000 0.500 0.500 [2 per cell]

As for the density of states at the Fermi level: 0.93 states/eV per atom.

Most stable: B. Least stable: A.

--- A ---
## TaCdSb (GGA-PBE)

Data for crystalline TaCdSb at its relaxed geometry.

Unit cell a=3.684 b=4.813 c=16.252 alpha=90.00 beta=90.00 gamma=90.00
Space group Fmm2 (No. 42)
Unique sites:
Ta 0.000 0.000 0.000 [4 per cell]
Cd 0.000 0.000 0.639 [4 per cell]
Sb 0.000 0.000 0.364 [4 per cell]

As for the density of states at the Fermi level: 0.33 states/eV per atom.

--- B ---
## TaCdSb (GGA-PBE)

Data for crystalline TaCdSb at its relaxed geometry.

Unit cell a=3.064 b=3.064 c=15.204 alpha=90.00 beta=90.00 gamma=90.00
Space group I4mm (No. 107)
Unique sites:
Ta 0.000 0.000 0.000 [2 per cell]
Cd 0.000 0.000 0.636 [2 per cell]
Sb 0.000 0.000 0.359 [2 per cell]

As for the density of states at the Fermi level: 0.52 states/eV per atom.

--- C ---
## TaCdSb (GGA-PBE)

Data for crystalline TaCdSb at its relaxed geometry.

Unit cell a=3.1695 b=3.1695 c=7.6526 alpha=90.00 beta=90.00 gamma=120.00
Space group P3m1 (No. 156)
Unique sites:
Ta 0.0000 0.0000 0.0000 [1 per cell]
Cd 0.6667 0.3333 0.3118 [1 per cell]
Sb 0.3333 0.6667 0.6949 [1 per cell]

As for the density of states at the Fermi level: 1.56 states/eV per atom.

Most stable: A. Least stable: C.

--- A ---
## Ta2CdSb (GGA-PBE)

Data for crystalline Ta2CdSb at its relaxed geometry.

Unit cell a=10.272 b=3.011 c=5.197 alpha=90.00 beta=98.71 gamma=90.00
Space group Cm (No. 8)
Unique sites:
Ta 0.000 0.000 0.000 [2 per cell]
Ta 0.245 0.500 0.268 [2 per cell]
Cd 0.252 0.000 0.783 [2 per cell]
Sb 0.489 0.000 0.491 [2 per cell]

As for the density of states at the Fermi level: 0.70 states/eV per atom.

--- B ---
## Ta2CdSb (GGA-PBE)

Data for crystalline Ta2CdSb at its relaxed geometry.

Unit cell a=3.554 b=4.860 c=9.253 alpha=90.00 beta=90.00 gamma=90.00
Space group Cmmm (No. 65)
Unique sites:
Ta 0.000 0.000 0.242 [4 per cell]
Cd 0.000 0.500 0.500 [2 per cell]
Sb 0.000 0.500 0.000 [2 per cell]

As for the density of states at the Fermi level: 0.81 states/eV per atom.

Most stable: A. Least stable: B.

--- A ---
## Ta2CdSb (GGA-PBE)

Data for crystalline Ta2CdSb at its relaxed geometry.

Unit cell a=3.623 b=4.608 c=4.736 alpha=90.00 beta=90.00 gamma=90.00
Space group Pmmm (No. 47)
Unique sites:
Ta 0.000 0.000 0.000 [1 per cell]
Ta 0.500 0.000 0.500 [1 per cell]
Cd 0.000 0.500 0.500 [1 per cell]
Sb 0.500 0.500 0.000 [1 per cell]

As for the density of states at the Fermi level: 0.63 states/eV per atom.

--- B ---
## Ta2CdSb (GGA-PBE)

Data for crystalline Ta2CdSb at its relaxed geometry.

Unit cell a=5.112 b=5.112 c=2.991 alpha=90.00 beta=90.00 gamma=90.00
Space group P4/mmm (No. 123)
Unique sites:
Ta 0.000 0.500 0.000 [2 per cell]
Cd 0.000 0.000 0.500 [1 per cell]
Sb 0.500 0.500 0.500 [1 per cell]

As for the density of states at the Fermi level: 0.81 states/eV per atom.

Most stable: A. Least stable: B.

--- A ---
## Ta2CdSb (GGA-PBE)

Data for crystalline Ta2CdSb at its relaxed geometry.

Unit cell a=5.990 b=9.282 c=3.003 alpha=90.00 beta=108.32 gamma=90.00
Space group C2/m (No. 12)
Unique sites:
Ta 0.250 0.250 0.000 [4 per cell]
Cd 0.000 0.000 0.500 [2 per cell]
Sb 0.000 0.500 0.500 [2 per cell]

As for the density of states at the Fermi level: 0.50 states/eV per atom.

--- B ---
## Ta2CdSb (GGA-PBE)

Data for crystalline Ta2CdSb at its relaxed geometry.

Unit cell a=3.630 b=3.630 c=6.136 alpha=90.00 beta=90.00 gamma=90.00
Space group P4mm (No. 99)
Unique sites:
Ta 0.000 0.000 0.000 [1 per cell]
Ta 0.500 0.500 0.210 [1 per cell]
Cd 0.000 0.000 0.471 [1 per cell]
Sb 0.500 0.500 0.737 [1 per cell]

As for the density of states at the Fermi level: 0.76 states/eV per atom.

--- C ---
## Ta2CdSb (GGA-PBE)

Data for crystalline Ta2CdSb at its relaxed geometry.

Unit cell a=3.587 b=4.801 c=9.192 alpha=90.00 beta=90.00 gamma=90.00
Space group Immm (No. 71)
Unique sites:
Ta 0.000 0.000 0.243 [4 per cell]
Cd 0.000 0.500 0.000 [2 per cell]
Sb 0.000 0.500 0.500 [2 per cell]

As for the density of states at the Fermi level: 0.55 states/eV per atom.

Most stable: B. Least stable: A.